DFT (GGA-PBE) results for an optimized crystal structure of K3CaI2O9.

The uncorrected formation energy comes out at -1.190 eV/atom. As for the space group: P-3m1. For the density, the calculation gives 4.19 g/cm³.

The structure in extended XYZ format:
```
15
Lattice="5.911 0.000 0.000 -2.955 5.119 0.000 0.000 0.000 7.271" Properties=species:S:1:pos:R:3 pbc="T T T"
O 1.478 2.559 0.000
O 2.955 0.000 0.000
O -1.478 2.559 0.000
O 1.605 0.926 5.020
O -1.351 4.192 2.251
O 1.351 4.192 2.251
O 2.955 3.266 5.020
O 0.000 1.853 2.251
O 4.306 0.926 5.020
K 0.000 3.412 4.879
K 2.955 1.706 2.392
K 0.000 0.000 0.000
Ca 0.000 0.000 3.635
I 0.000 3.412 1.244
I 2.955 1.706 6.027
```